Entry 1:
First-principles (GGA-PBE) data for crystalline CrCuRe2 at its relaxed geometry, as listed in the Alexandria database.

Cell: 6.8081 6.8081 5.1401 Å, 90.00 90.00 90.00°
Space group I-42d (No. 122)
Asymmetric unit:
Cr1 0.0000 0.0000 0.0000 (multiplicity 4)
Cu1 0.0000 0.0000 0.5000 (multiplicity 4)
Re1 0.2194 0.2500 0.1250 (multiplicity 8)

Calculated values
density of states at the Fermi level	0.96	states/eV per atom
crystal system	tetragonal
formation energy	0.844	eV per atom
energy above the lowest structure with this stoichiometry	619	meV/atom


Entry 2:
First-principles (GGA-PBE) data for crystalline ZnCrAu2 at its relaxed geometry, as listed in the Alexandria database.

Cell: 4.2200 4.2200 3.7384 Å, 90.00 90.00 90.00°
Space group P4/mmm (No. 123)
Asymmetric unit:
Zn1 0.0000 0.0000 0.0000 (multiplicity 1)
Cr1 0.5000 0.5000 0.0000 (multiplicity 1)
Au1 0.0000 0.5000 0.5000 (multiplicity 2)

Calculated values
density of states at the Fermi level	0.42	states/eV per atom
crystal system	tetragonal
formation energy	-0.025	eV per atom


Entry 3:
First-principles (GGA-PBE) data for crystalline Rb3NaTh3Se8 at its relaxed geometry, as listed in the Alexandria database.

Cell: 8.7318 8.7318 24.0883 Å, 90.00 90.00 120.00°
Space group R-3m (No. 166, hexagonal axes)
Asymmetric unit:
Rb1 0.0000 0.5000 0.0000 (multiplicity 9)
Na1 0.0000 0.0000 0.5000 (multiplicity 3)
Th1 0.0000 0.5000 0.5000 (multiplicity 9)
Se1 0.0000 0.0000 0.2344 (multiplicity 6)
Se2 0.0200 0.5100 0.7688 (multiplicity 18)

Calculated values
density of states at the Fermi level	0.00	states/eV per atom
crystal system	trigonal
raw formation energy	-23.588	eV per formula unit


Entry 4:
First-principles (GGA-PBE) data for crystalline La8NiRh3Cl4 at its relaxed geometry, as listed in the Alexandria database.

Cell: 8.3012 8.3012 22.9927 Å, 90.00 90.00 120.00°
Space group R-3m (No. 166, hexagonal axes)
Asymmetric unit:
La1 0.0000 0.0000 0.2357 (multiplicity 6)
La2 0.0025 0.5012 0.2345 (multiplicity 18)
Ni1 0.0000 0.0000 0.5000 (multiplicity 3)
Rh1 0.0000 0.5000 0.5000 (multiplicity 9)
Cl1 0.0000 0.0000 0.0000 (multiplicity 3)
Cl2 0.0000 0.5000 0.0000 (multiplicity 9)

Calculated values
density of states at the Fermi level	0.46	states/eV per atom
crystal system	trigonal
raw formation energy	-19.366	eV per formula unit


Entry 5:
First-principles (GGA-PBE) data for crystalline PrNd12Cd3 at its relaxed geometry, as listed in the Alexandria database.

Cell: 5.0227 5.0227 20.3819 Å, 90.00 90.00 90.00°
Space group P4/mmm (No. 123)
Asymmetric unit:
Pr1 0.0000 0.0000 0.0000 (multiplicity 1)
Nd1 0.0000 0.5000 0.1323 (multiplicity 4)
Nd2 0.0000 0.5000 0.3780 (multiplicity 4)
Nd3 0.5000 0.5000 0.0000 (multiplicity 1)
Nd4 0.5000 0.5000 0.2560 (multiplicity 2)
Nd5 0.5000 0.5000 0.5000 (multiplicity 1)
Cd1 0.0000 0.0000 0.2576 (multiplicity 2)
Cd2 0.0000 0.0000 0.5000 (multiplicity 1)

Calculated values
density of states at the Fermi level	1.53	states/eV per atom
crystal system	tetragonal
formation energy	-0.070	eV per atom


Entry 6:
First-principles (GGA-PBE) data for crystalline CsMoH2Cl8 at its relaxed geometry, as listed in the Alexandria database.

Cell: 6.6439 6.6668 9.5388 Å, 74.39 74.12 74.43°
Space group P-1 (No. 2)
Asymmetric unit:
Cs1 0.0000 0.0000 0.0000 (multiplicity 1)
Mo1 0.0000 0.0000 0.5000 (multiplicity 1)
H1 0.2759 0.5403 0.7347 (multiplicity 2)
Cl1 0.2088 0.6509 0.5146 (multiplicity 2)
Cl2 0.2196 0.1080 0.2656 (multiplicity 2)
Cl3 0.2269 0.0847 0.6144 (multiplicity 2)
Cl4 0.3016 0.4706 0.8732 (multiplicity 2)

Calculated values
density of states at the Fermi level	0.62	states/eV per atom
VASP energy	-3.69	eV per atom
crystal system	triclinic


Entry 7:
First-principles (GGA-PBE) data for crystalline CsLiThO3 at its relaxed geometry, as listed in the Alexandria database.

Cell: 3.7121 13.2987 9.2893 Å, 90.00 90.00 90.00°
Space group Cmcm (No. 63)
Asymmetric unit:
Cs1 0.0000 0.2345 0.2500 (multiplicity 4)
Li1 0.0000 0.0450 0.7500 (multiplicity 4)
Th1 0.0000 0.5000 0.0000 (multiplicity 4)
O1 0.0000 0.1001 0.5556 (multiplicity 8)
O2 0.0000 0.4698 0.7500 (multiplicity 4)

Calculated values
density of states at the Fermi level	0.00	states/eV per atom
crystal system	orthorhombic
raw formation energy	-16.096	eV per formula unit


Entry 8:
First-principles (GGA-PBE) data for crystalline PaInIr2 at its relaxed geometry, as listed in the Alexandria database.

Cell: 3.5302 3.5302 6.2815 Å, 90.00 90.00 90.00°
Space group P4/mmm (No. 123)
Asymmetric unit:
Pa1 0.0000 0.0000 0.0000 (multiplicity 1)
In1 0.0000 0.0000 0.5000 (multiplicity 1)
Ir1 0.5000 0.5000 0.2494 (multiplicity 2)

Calculated values
density of states at the Fermi level	0.80	states/eV per atom
crystal system	tetragonal
formation energy	-0.433	eV per atom


Entry 9:
First-principles (GGA-PBE) data for crystalline Pu4AgHgAu2 at its relaxed geometry, as listed in the Alexandria database.

Cell: 5.1998 5.1998 25.4586 Å, 90.00 90.00 120.00°
Space group R-3m (No. 166, hexagonal axes)
Asymmetric unit:
Pu1 0.0000 0.0000 0.1230 (multiplicity 6)
Pu2 0.0000 0.0000 0.3732 (multiplicity 6)
Ag1 0.0000 0.0000 0.0000 (multiplicity 3)
Hg1 0.0000 0.0000 0.5000 (multiplicity 3)
Au1 0.0000 0.0000 0.2493 (multiplicity 6)

Calculated values
density of states at the Fermi level	4.63	states/eV per atom
crystal system	trigonal
formation energy	-0.171	eV per atom


Entry 10:
First-principles (GGA-PBE) data for crystalline Pr2Sn5Au3 at its relaxed geometry, as listed in the Alexandria database.

Cell: 4.7685 25.6033 8.2832 Å, 90.00 90.00 90.00°
Space group Cmc2_1 (No. 36)
Asymmetric unit:
Pr1 0.0000 0.0242 0.0000 (multiplicity 4)
Pr2 0.0000 0.3256 0.9890 (multiplicity 4)
Sn1 0.0000 0.1052 0.6794 (multiplicity 4)
Sn2 0.0000 0.1881 0.1316 (multiplicity 4)
Sn3 0.0000 0.2304 0.7100 (multiplicity 4)
Sn4 0.0000 0.3808 0.4480 (multiplicity 4)
Sn5 0.0000 0.4503 0.8083 (multiplicity 4)
Au1 0.0000 0.1016 0.3284 (multiplicity 4)
Au2 0.0000 0.2711 0.3915 (multiplicity 4)
Au3 0.0000 0.4536 0.1623 (multiplicity 4)

Calculated values
density of states at the Fermi level	0.43	states/eV per atom
crystal system	orthorhombic
formation energy	-0.513	eV per atom
energy above the lowest structure with this stoichiometry	0	meV/atom


Entry 11:
First-principles (GGA-PBE) data for crystalline Si2SbRuCl at its relaxed geometry, as listed in the Alexandria database.

Cell: 4.7749 4.7749 4.4656 Å, 90.00 90.00 90.00°
Space group P4/mmm (No. 123)
Asymmetric unit:
Si1 0.0000 0.5000 0.0000 (multiplicity 2)
Sb1 0.0000 0.0000 0.5000 (multiplicity 1)
Ru1 0.5000 0.5000 0.5000 (multiplicity 1)
Cl1 0.5000 0.5000 0.0000 (multiplicity 1)

Calculated values
density of states at the Fermi level	0.78	states/eV per atom
crystal system	tetragonal
raw formation energy	5.572	eV per formula unit


Entry 12:
First-principles (GGA-PBE) data for crystalline InCuCBr2 at its relaxed geometry, as listed in the Alexandria database.

Cell: 5.5480 5.5480 3.6787 Å, 90.00 90.00 90.00°
Space group P4/mmm (No. 123)
Asymmetric unit:
In1 0.0000 0.0000 0.0000 (multiplicity 1)
Cu1 0.5000 0.5000 0.5000 (multiplicity 1)
C1 0.5000 0.5000 0.0000 (multiplicity 1)
Br1 0.0000 0.5000 0.5000 (multiplicity 2)

Calculated values
density of states at the Fermi level	0.44	states/eV per atom
crystal system	tetragonal
raw formation energy	3.250	eV per formula unit


Entry 13:
First-principles (GGA-PBE) data for crystalline LiPaMnSn at its relaxed geometry, as listed in the Alexandria database.

Cell: 6.5939 6.5939 6.5939 Å, 90.00 90.00 90.00°
Space group F-43m (No. 216)
Asymmetric unit:
Li1 0.0000 0.0000 0.0000 (multiplicity 4)
Pa1 0.2500 0.2500 0.2500 (multiplicity 4)
Mn1 0.0000 0.0000 0.5000 (multiplicity 4)
Sn1 0.2500 0.2500 0.7500 (multiplicity 4)

Calculated values
density of states at the Fermi level	1.04	states/eV per atom
crystal system	cubic
formation energy	-0.075	eV per atom


Entry 14:
First-principles (GGA-PBE) data for crystalline Rb3SiMo at its relaxed geometry, as listed in the Alexandria database.

Cell: 6.7826 6.7826 6.7826 Å, 90.00 90.00 90.00°
Space group Pm-3m (No. 221)
Asymmetric unit:
Rb1 0.0000 0.0000 0.5000 (multiplicity 3)
Si1 0.0000 0.0000 0.0000 (multiplicity 1)
Mo1 0.5000 0.5000 0.5000 (multiplicity 1)

Calculated values
density of states at the Fermi level	0.62	states/eV per atom
crystal system	cubic
raw formation energy	6.724	eV per formula unit
energy above the lowest structure with this stoichiometry	0	meV/atom


Entry 15:
First-principles (GGA-PBE) data for crystalline CsGaAu at its relaxed geometry, as listed in the Alexandria database.

Cell: 7.3964 8.5612 8.5724 Å, 90.00 125.21 90.00°
Space group P2_1/c (No. 14)
Asymmetric unit:
Cs1 0.1391 0.0013 0.3199 (multiplicity 4)
Ga1 0.5003 0.1061 0.8949 (multiplicity 4)
Au1 0.4987 0.6867 0.3120 (multiplicity 4)

Calculated values
density of states at the Fermi level	0.19	states/eV per atom
crystal system	monoclinic
formation energy	-0.312	eV per atom
energy above the lowest structure with this stoichiometry	0	meV/atom


Entry 16:
First-principles (GGA-PBE) data for crystalline La6Pd3Ru at its relaxed geometry, as listed in the Alexandria database.

Cell: 7.0482 7.8515 12.8308 Å, 90.00 122.27 90.00°
Space group P2_1/c (No. 14)
Asymmetric unit:
La1 0.0881 0.0530 0.2434 (multiplicity 4)
La2 0.2412 0.6871 0.0783 (multiplicity 4)
La3 0.3949 0.1728 0.0734 (multiplicity 4)
Pd1 0.3063 0.1111 0.7540 (multiplicity 4)
Pd2 0.5000 0.0000 0.5000 (multiplicity 2)
Ru1 0.0000 0.0000 0.0000 (multiplicity 2)

Calculated values
density of states at the Fermi level	0.80	states/eV per atom
crystal system	monoclinic
formation energy	-0.552	eV per atom


Entry 17:
First-principles (GGA-PBE) data for crystalline Na3MgF at its relaxed geometry, as listed in the Alexandria database.

Cell: 4.9196 4.9196 4.9196 Å, 90.00 90.00 90.00°
Space group Pm-3m (No. 221)
Asymmetric unit:
Na1 0.0000 0.0000 0.5000 (multiplicity 3)
Mg1 0.5000 0.5000 0.5000 (multiplicity 1)
F1 0.0000 0.0000 0.0000 (multiplicity 1)

Calculated values
density of states at the Fermi level	0.50	states/eV per atom
crystal system	cubic
raw formation energy	-4.495	eV per formula unit
energy above the lowest structure with this stoichiometry	0	meV/atom


Entry 18:
First-principles (GGA-PBE) data for crystalline Pr5Te4Cl at its relaxed geometry, as listed in the Alexandria database.

Cell: 4.4781 4.4781 54.0439 Å, 90.00 90.00 120.00°
Space group R-3m (No. 166, hexagonal axes)
Asymmetric unit:
Pr1 0.0000 0.0000 0.0000 (multiplicity 3)
Pr2 0.0000 0.0000 0.1944 (multiplicity 6)
Pr3 0.0000 0.0000 0.4029 (multiplicity 6)
Te1 0.0000 0.0000 0.1047 (multiplicity 6)
Te2 0.0000 0.0000 0.2985 (multiplicity 6)
Cl1 0.0000 0.0000 0.5000 (multiplicity 3)

Calculated values
density of states at the Fermi level	0.62	states/eV per atom
crystal system	trigonal
raw formation energy	-14.071	eV per formula unit


Entry 19:
First-principles (GGA-PBE) data for crystalline LiGeW3 at its relaxed geometry, as listed in the Alexandria database.

Cell: 4.2433 4.2433 4.2433 Å, 90.00 90.00 90.00°
Space group Pm-3m (No. 221)
Asymmetric unit:
Li1 0.0000 0.0000 0.0000 (multiplicity 1)
Ge1 0.5000 0.5000 0.5000 (multiplicity 1)
W1 0.0000 0.0000 0.5000 (multiplicity 3)

Calculated values
density of states at the Fermi level	1.02	states/eV per atom
crystal system	cubic
formation energy	1.527	eV per atom
energy above the lowest structure with this stoichiometry	0	meV/atom


Entry 20:
First-principles (GGA-PBE) data for crystalline Sr2Ni at its relaxed geometry, as listed in the Alexandria database.

Cell: 4.2024 6.7141 8.1699 Å, 100.32 104.82 90.01°
Space group P-1 (No. 2)
Asymmetric unit:
Sr1 0.0911 0.2899 0.1815 (multiplicity 2)
Sr2 0.3382 0.1984 0.6768 (multiplicity 2)
Ni1 0.2598 0.5795 0.5195 (multiplicity 2)

Calculated values
density of states at the Fermi level	1.01	states/eV per atom
crystal system	triclinic
formation energy	-0.053	eV per atom


Entry 21:
First-principles (GGA-PBE) data for crystalline TaP2W at its relaxed geometry, as listed in the Alexandria database.

Cell: 3.0409 4.1694 9.8882 Å, 90.00 90.00 90.00°
Space group Imm2 (No. 44)
Asymmetric unit:
Ta1 0.0000 0.0000 0.0000 (multiplicity 2)
P1 0.0000 0.0000 0.4805 (multiplicity 2)
P2 0.0000 0.5000 0.2862 (multiplicity 2)
W1 0.0000 0.5000 0.7817 (multiplicity 2)

Calculated values
density of states at the Fermi level	0.47	states/eV per atom
crystal system	orthorhombic
formation energy	-0.172	eV per atom


Entry 22:
First-principles (GGA-PBE) data for crystalline FeSb2Pb at its relaxed geometry, as listed in the Alexandria database.

Cell: 5.8904 3.3855 9.8631 Å, 90.00 100.94 90.00°
Space group C2/m (No. 12)
Asymmetric unit:
Fe1 0.0000 0.0000 0.0000 (multiplicity 2)
Sb1 0.2252 0.5000 0.1833 (multiplicity 4)
Pb1 0.0000 0.5000 0.5000 (multiplicity 2)

Calculated values
density of states at the Fermi level	0.67	states/eV per atom
crystal system	monoclinic
raw formation energy	0.456	eV per formula unit


Entry 23:
First-principles (GGA-PBE) data for crystalline TmPu5Sn6 at its relaxed geometry, as listed in the Alexandria database.

Cell: 4.8432 8.8900 14.5236 Å, 90.00 90.00 90.00°
Space group Immm (No. 71)
Asymmetric unit:
Tm1 0.0000 0.0000 0.0000 (multiplicity 2)
Pu1 0.0000 0.0000 0.3327 (multiplicity 4)
Pu2 0.0000 0.5000 0.0000 (multiplicity 2)
Pu3 0.0000 0.5000 0.3314 (multiplicity 4)
Sn1 0.0000 0.2492 0.1649 (multiplicity 8)
Sn2 0.0000 0.2525 0.5000 (multiplicity 4)

Calculated values
density of states at the Fermi level	5.29	states/eV per atom
crystal system	orthorhombic
formation energy	-0.342	eV per atom